Ce2PrNd after structural relaxation, computed with PBE.

Cell and atoms, written as POSCAR:
```
Ce2PrNd
1.0
3.561 0.000 0.000
1.781 3.084 0.000
1.781 1.028 11.791
Ce Pr Nd
2 1 1
Direct
0.250 0.250 0.251
0.084 0.084 0.750
0.668 0.668 0.996
0.499 0.499 0.503
```

Values from the calculation:
E in eV/atom: -5.2307
M_tot in μB/f.u.: 1.5
ΔE_f in eV/atom: 0.123
SG: R3m
Energy above the most stable polymorph in this dataset in meV per atom: 0.5